(1)
DFT (PBEsol) results for crystalline CaOs2Pb at its relaxed geometry.

a = 2.902 Å, b = 2.902 Å, c = 9.609 Å
α = 90.00°, β = 90.00°, γ = 113.62°
Atoms (fractional coordinates):
1 Ca 0.500 0.500 0.000
2 Os 0.000 0.000 0.247
3 Os 0.000 0.000 0.753
4 Pb 0.500 0.500 0.500

- Formation enthalpy at 0 K: 103.0 kJ/mol of atoms
- SG: Cmmm, No. 65

***

(2)
DFT (PBEsol) results for crystalline CaSi2OsPb at its relaxed geometry.

a = 4.725 Å, b = 5.103 Å, c = 5.103 Å
α = 90.00°, β = 90.00°, γ = 90.00°
Atoms (fractional coordinates):
1 Pb 0.500 0.500 0.500
2 Ca 0.000 0.000 0.000
3 Os 0.500 0.000 0.000
4 Si 0.000 0.000 0.500
5 Si 0.000 0.500 0.000

- Raw formation energy: 1.85 eV/atom
- SG: P4/mmm, No. 123

***

(3)
DFT (PBEsol) results for crystalline Ca3OsPd at its relaxed geometry.

a = 5.272 Å, b = 5.272 Å, c = 5.272 Å
α = 90.00°, β = 90.00°, γ = 90.00°
Atoms (fractional coordinates):
1 Ca 0.000 0.500 0.000
2 Ca 0.000 0.000 0.500
3 Ca 0.500 0.000 0.000
4 Os 0.000 0.000 0.000
5 Pd 0.500 0.500 0.500

- Formation enthalpy at 0 K: 52.2 kJ/mol of atoms
- SG: Pm-3m, No. 221

***

(4)
DFT (PBEsol) results for crystalline CaOsPd2 at its relaxed geometry.

a = 4.551 Å, b = 4.551 Å, c = 4.551 Å
α = 60.00°, β = 60.00°, γ = 60.00°
Each line ends with the local moment (μB).
Atoms (fractional coordinates):
1 Ca 0.000 0.000 0.000  0.00
2 Os 0.500 0.500 0.500  1.33
3 Pd 0.250 0.250 0.250  0.21
4 Pd 0.750 0.750 0.750  0.21

- Formation enthalpy at 0 K: 27.6 kJ/mol of atoms
- SG: Fm-3m, No. 225

***

One value per record, in order, for energy: -6.57, -4.11, -4.37, -6.28 eV per atom.